one:
MgZnMo2 (PBE-GGA, relaxed); crystal system = tetragonal; size of the total moment = 0.0 μB per formula unit
1.0
4.476 0.000 0.000
0.000 4.476 0.000
0.000 0.000 6.350
Mg Zn Mo
2 2 4
Direct
0.000 0.000 0.000
0.500 0.500 0.500
0.000 0.500 0.250
0.500 0.000 0.750
0.000 0.000 0.500
0.000 0.500 0.750
0.500 0.000 0.250
0.500 0.500 0.000

two:
MgZnMo2 (PBE-GGA, relaxed); crystal system = monoclinic; size of the total moment = 0.0 μB per formula unit
1.0
9.276 0.000 0.000
0.000 2.691 0.000
-0.402 0.000 5.162
Mg Zn Mo
2 2 4
Direct
0.000 0.000 0.000
0.500 0.500 0.000
0.250 0.500 0.226
0.750 0.000 0.226
0.247 0.000 0.716
0.489 0.000 0.500
0.747 0.500 0.716
0.989 0.500 0.500

two is favored, and the nearest alternative lies 2.2 kJ/mol of atoms above it.